Model w:
VASP calculation (meta-GGA SCAN) on a crystal of SrY2Br relaxed with PBEsol.

abc: 6.509 10.918 3.664
angles: 90.00 90.00 90.00
Space group Cmmm (No. 65)
Unique sites:
Sr  0.000  0.000  0.000 x2
Y  0.250  0.250  0.500 x4
Br  0.000  0.500  0.000 x2

Values from the calculation:
mass density	4.40	g/cm³
total moment	0.5282	μB per atom

Model x:
VASP calculation (meta-GGA SCAN) on a crystal of SrY2Br relaxed with PBEsol.

abc: 7.946 7.946 7.946
angles: 90.00 90.00 90.00
Space group Fm-3m (No. 225)
Unique sites:
Sr  0.000  0.000  0.000 x4
Y  0.250  0.250  0.250 x8
Br  0.000  0.000  0.500 x4

Values from the calculation:
mass density	4.57	g/cm³
total moment	0.0000	μB per atom

Relative energies, in meV per atom, with the most stable structure set to zero: model w 0; model x 335.